Below is an optimized crystal structure of Li4Be5As6, with properties calculated at the PBE-GGA level.

POSCAR file:
```
Li4Be5As6
1.0
-2.9379 2.3180 -0.2733
-3.7905 -7.9293 -0.7489
-1.7149 -0.5117 14.0968
Li Be As
8 10 12
direct
0.0070 0.0141 0.9990
0.1790 0.3579 0.3089
0.0270 0.0540 0.7659
0.8210 0.6421 0.8089
0.9930 0.9859 0.4990
0.8144 0.6287 0.4504
0.9730 0.9460 0.2659
0.1856 0.3713 0.9504
0.2908 0.5817 0.6242
0.6435 0.2870 0.7527
0.6354 0.2709 0.4902
0.3646 0.7291 0.9902
0.4300 0.8600 0.6859
0.5700 0.1400 0.1859
0.7092 0.4183 0.1242
0.8590 0.7179 0.1294
0.3565 0.7130 0.2527
0.1410 0.2821 0.6294
0.4428 0.8856 0.1267
0.5572 0.1144 0.6267
0.7888 0.5777 0.9945
0.8723 0.7446 0.6243
0.1277 0.2554 0.1243
0.4247 0.8494 0.3912
0.5753 0.1506 0.8912
0.5604 0.1209 0.3532
0.7815 0.5630 0.2591
0.4396 0.8791 0.8532
0.2112 0.4223 0.4945
0.2185 0.4370 0.7591
```

## Properties
- total DFT energy (no corrections) (eV/atom) = -3.95
- space-group type = Cmc2_1, No. 36
- energy of formation (eV/f.u.) = -5.1

***

Below is an optimized crystal structure of Ac3La5, with properties calculated at the PBE-GGA level.

POSCAR file:
```
Ac3La5
1.0
10.8281 0.0000 0.0000
0.0000 7.6560 -0.0009
0.0000 -0.0048 7.6560
Ac La
6 10
direct
0.0000 0.5093 0.4907
0.5000 0.9955 0.4974
0.7590 0.2494 0.7506
0.5000 0.9995 0.0005
0.5000 0.5026 0.0045
0.2410 0.2494 0.7506
0.0000 0.5066 0.0035
0.0000 0.9965 0.4934
0.0000 0.9908 0.0092
0.2453 0.7503 0.7506
0.7547 0.2494 0.2497
0.2453 0.2494 0.2497
0.5000 0.5000 0.5000
0.2490 0.7503 0.2497
0.7547 0.7503 0.7506
0.7510 0.7503 0.2497
```

## Properties
- total DFT energy (no corrections) (eV/atom) = -4.60
- space-group type = Amm2, No. 38
- energy of formation (eV/f.u.) = 0.1
- ΔE to the lowest computed polymorph (meV/atom) = 0

***

Below is an optimized crystal structure of In2FeHg, with properties calculated at the PBE-GGA level.

POSCAR file:
```
In2FeHg
1.0
4.9785 0.0000 0.0000
2.4892 4.3115 0.0000
2.4892 1.4372 4.0649
In Fe Hg
2 1 1
direct
0.2500 0.2500 0.2500
0.0000 0.0000 0.0000
0.5000 0.5000 0.5000
0.7500 0.7500 0.7500
```

## Properties
- total DFT energy (no corrections) (eV/atom) = -3.09
- space-group type = F-43m, No. 216
- energy of formation (eV/f.u.) = 1.9

***

Below is an optimized crystal structure of TaCu2Au, with properties calculated at the PBE-GGA level.

POSCAR file:
```
TaCu2Au
1.0
3.9201 0.0000 0.0000
0.0000 3.9579 0.0000
0.0000 0.0000 3.9579
Cu Ta Au
2 1 1
direct
0.0000 0.0000 0.0000
0.0000 0.5000 0.5000
0.5000 0.5000 0.0000
0.5000 0.0000 0.5000
```

## Properties
- total DFT energy (no corrections) (eV/atom) = -5.54
- space-group type = P4/mmm, No. 123
- energy of formation (eV/f.u.) = 1.2
- ΔE to the lowest computed polymorph (meV/atom) = 269

***

Below is an optimized crystal structure of Ti4InPb, with properties calculated at the PBE-GGA level.

POSCAR file:
```
Ti4InPb
1.0
5.0381 0.0000 -1.2358
0.0000 6.0784 0.0000
-3.0692 0.0000 8.3211
Ti Pb In
8 2 2
direct
0.4916 0.4907 0.3367
0.9961 0.7500 0.9869
0.5084 0.5093 0.6633
0.4916 0.0093 0.3367
0.0039 0.2500 0.0131
0.9854 0.2500 0.6785
0.0146 0.7500 0.3215
0.5084 0.9907 0.6633
0.5000 0.5000 0.0000
0.5000 0.0000 0.0000
0.0294 0.2500 0.3641
0.9706 0.7500 0.6359
```

## Properties
- total DFT energy (no corrections) (eV/atom) = -6.32
- space-group type = P2_1/m, No. 11
- energy of formation (eV/f.u.) = 0.1
- ΔE to the lowest computed polymorph (meV/atom) = 109

***

Below is an optimized crystal structure of CeDy3Rh3, with properties calculated at the PBE-GGA level.

POSCAR file:
```
CeDy3Rh3
1.0
-6.0193 2.6419 -1.9309
-2.5068 -2.1730 5.9945
1.8588 6.0842 2.8725
Rh Dy Ce
6 6 2
direct
0.4895 0.0270 0.2829
0.0270 0.4895 0.2829
0.5105 0.9730 0.7171
0.9294 0.9294 0.1910
0.0706 0.0706 0.8090
0.9730 0.5105 0.7171
0.6702 0.6702 0.3815
0.3298 0.3298 0.6185
0.8234 0.1766 0.5000
0.2560 0.7440 0.0000
0.1766 0.8234 0.5000
0.7440 0.2560 0.0000
0.7550 0.7550 0.8708
0.2450 0.2450 0.1292
```

## Properties
- total DFT energy (no corrections) (eV/atom) = -6.66
- space-group type = C2/m, No. 12
- energy of formation (eV/f.u.) = -4.8

***

no.,magnetization (μB per cell),DOS(E_F) (states/eV per atom)
1,0.0,0.252
2,0.0,1.933
3,2.9,0.991
4,0.0,1.785
5,0.0,1.249
6,0.0,0.859